(1)
First-principles (PBE) data for a relaxed structure of AcSmCd4, as listed in Alexandria via LeMat-Bulk.

Calculated values
Fermi-level density of states (states/eV/atom): 0.74
Total DFT energy (no corrections) (eV per formula unit): -14.4
Formation energy (eV per formula unit): -1.91
Total magnetization (μB/f.u.): 0.00
Polymorph energy (0 for the lowest one) (eV per atom): 0.000

Cell and atoms, written as POSCAR:
```
AcSmCd4
1.0
-2.5611 3.6276 4.4488
2.5611 -3.6276 4.4488
2.5611 3.6276 -4.4488
Ac Sm Cd
1 1 4
direct
0.0000 0.0000 0.0000 Ac
0.5000 0.0000 0.5000 Sm
0.0934 0.3335 0.7599 Cd
0.4264 0.6665 0.7599 Cd
0.5736 0.3335 0.2401 Cd
0.9066 0.6665 0.2401 Cd
```


(2)
First-principles (PBE) data for a relaxed structure of Ac4SmCd, as listed in Alexandria via LeMat-Bulk.

Calculated values
Fermi-level density of states (states/eV/atom): 1.49
Total DFT energy (no corrections) (eV per formula unit): -20.4
Formation energy (eV per formula unit): 1.70
Total magnetization (μB/f.u.): 0.00
Polymorph energy (0 for the lowest one) (eV per atom): 0.362

Cell and atoms, written as POSCAR:
```
Ac4SmCd
1.0
5.7580 0.0000 0.0000
0.0000 5.7580 0.0000
0.0000 0.0000 8.0677
Ac Sm Cd
4 1 1
direct
0.0000 0.5000 0.2439 Ac
0.0000 0.5000 0.7561 Ac
0.5000 0.0000 0.2439 Ac
0.5000 0.0000 0.7561 Ac
0.0000 0.0000 0.5000 Sm
0.5000 0.5000 0.0000 Cd
```


(3)
First-principles (PBE) data for a relaxed structure of Ac4SmCd5, as listed in Alexandria via LeMat-Bulk.

Calculated values
Fermi-level density of states (states/eV/atom): 1.36
Total DFT energy (no corrections) (eV per formula unit): -28.6
Formation energy (eV per formula unit): -2.92
Total magnetization (μB/f.u.): 0.02

Cell and atoms, written as POSCAR:
```
Ac4SmCd5
1.0
4.0235 0.0000 0.0000
0.0000 4.0235 0.0000
0.0000 0.0000 20.1475
Ac Sm Cd
4 1 5
direct
0.0000 0.0000 0.1028 Ac
0.0000 0.0000 0.3091 Ac
0.0000 0.0000 0.6909 Ac
0.0000 0.0000 0.8972 Ac
0.0000 0.0000 0.5000 Sm
0.5000 0.5000 0.0000 Cd
0.5000 0.5000 0.2052 Cd
0.5000 0.5000 0.4151 Cd
0.5000 0.5000 0.5849 Cd
0.5000 0.5000 0.7948 Cd
```


(4)
First-principles (PBE) data for a relaxed structure of AcSm2Cd, as listed in Alexandria via LeMat-Bulk.

Calculated values
Fermi-level density of states (states/eV/atom): 1.37
Total DFT energy (no corrections) (eV per formula unit): -15.0
Formation energy (eV per formula unit): -0.55
Total magnetization (μB/f.u.): 0.00
Polymorph energy (0 for the lowest one) (eV per atom): 0.000

Cell and atoms, written as POSCAR:
```
AcSm2Cd
1.0
3.8302 0.0000 0.0000
0.0000 3.8302 0.0000
0.0000 0.0000 9.0039
Ac Sm Cd
1 2 1
direct
0.0000 0.0000 0.0000 Ac
0.5000 0.5000 0.2898 Sm
0.5000 0.5000 0.7102 Sm
0.0000 0.0000 0.5000 Cd
```


(5)
First-principles (PBE) data for a relaxed structure of Ac2SmCd2, as listed in Alexandria via LeMat-Bulk.

Calculated values
Fermi-level density of states (states/eV/atom): 1.28
Total DFT energy (no corrections) (eV per formula unit): -15.6
Formation energy (eV per formula unit): -0.82
Total magnetization (μB/f.u.): 0.58
Polymorph energy (0 for the lowest one) (eV per atom): 0.000

Cell and atoms, written as POSCAR:
```
Ac2SmCd2
1.0
1.9873 -11.0861 0.0000
1.9873 11.0861 0.0000
0.0000 0.0000 3.9071
Ac Sm Cd
2 1 2
direct
0.1743 0.8257 0.0000 Ac
0.8257 0.1743 0.0000 Ac
0.0000 0.0000 0.0000 Sm
0.4222 0.5778 0.5000 Cd
0.5778 0.4222 0.5000 Cd
```


(6)
First-principles (PBE) data for a relaxed structure of Ac2SmCd, as listed in Alexandria via LeMat-Bulk.

Calculated values
Fermi-level density of states (states/eV/atom): 1.32
Total DFT energy (no corrections) (eV per formula unit): -13.1
Formation energy (eV per formula unit): 0.76
Total magnetization (μB/f.u.): 0.00
Polymorph energy (0 for the lowest one) (eV per atom): 0.312

Cell and atoms, written as POSCAR:
```
Ac2SmCd
1.0
1.8963 1.0948 12.9842
-1.8963 1.0948 12.9842
0.0000 -2.1897 12.9842
Ac Sm Cd
2 1 1
direct
0.0890 0.0890 0.0890 Ac
0.9110 0.9110 0.9110 Ac
0.5000 0.5000 0.5000 Sm
0.0000 0.0000 0.0000 Cd
```


(7)
First-principles (PBE) data for a relaxed structure of Ac2SmCd, as listed in Alexandria via LeMat-Bulk.

Calculated values
Fermi-level density of states (states/eV/atom): 0.97
Total DFT energy (no corrections) (eV per formula unit): -14.3
Formation energy (eV per formula unit): -0.49
Total magnetization (μB/f.u.): 0.00
Polymorph energy (0 for the lowest one) (eV per atom): 0.000

Cell and atoms, written as POSCAR:
```
Ac2SmCd
1.0
3.9724 0.0000 0.0000
0.0000 3.9724 0.0000
0.0000 0.0000 9.3729
Ac Sm Cd
2 1 1
direct
0.0000 0.0000 0.2256 Ac
0.0000 0.0000 0.7744 Ac
0.5000 0.5000 0.5000 Sm
0.5000 0.5000 0.0000 Cd
```


(8)
First-principles (PBE) data for a relaxed structure of Ac2SmCd, as listed in Alexandria via LeMat-Bulk.

Calculated values
Fermi-level density of states (states/eV/atom): 1.15
Total DFT energy (no corrections) (eV per formula unit): -13.9
Formation energy (eV per formula unit): -0.08
Total magnetization (μB/f.u.): 0.00
Polymorph energy (0 for the lowest one) (eV per atom): 0.102

Cell and atoms, written as POSCAR:
```
Ac2SmCd
1.0
1.9488 1.1251 11.5105
-1.9488 1.1251 11.5105
0.0000 -2.2503 11.5105
Ac Sm Cd
2 1 1
direct
0.0000 0.0000 0.0000 Ac
0.1770 0.1770 0.1770 Ac
0.4213 0.4213 0.4213 Sm
0.5887 0.5887 0.5887 Cd
```